1.
DFT (PBE) results for crystalline LaY2Ru at its relaxed geometry.

Results
Energy above the most stable polymorph in this dataset ... 331 meV/atom
Calculated formation energy ... 0.0414 eV per atom
Symmetry ... No. 122
Total magnetic moment ... 0.000 Bohr magnetons per cell

Lattice parameters (Å, degrees): 6.944 6.944 6.944 101.34 101.34 127.36
Sites, in units of the cell vectors:
La 0.000 0.000 0.000
La 0.750 0.250 0.500
Y 0.214 0.625 0.089
Y 0.375 0.464 0.589
Y 0.536 0.125 0.911
Y 0.875 0.786 0.411
Ru 0.250 0.750 0.500
Ru 0.500 0.500 0.000

---

2.
DFT (PBE) results for crystalline GaAsPPb2 at its relaxed geometry.

Results
Calculated formation energy ... 0.5560 eV per atom
Symmetry ... No. 123
Total magnetic moment ... 0.000 Bohr magnetons per cell

Lattice parameters (Å, degrees): 5.753 5.753 4.639 90.00 90.00 90.00
Sites, in units of the cell vectors:
Ga 0.000 0.000 0.000
As 0.500 0.500 0.500
P 0.500 0.500 0.000
Pb 0.000 0.500 0.500
Pb 0.500 0.000 0.500

---

3.
DFT (PBE) results for crystalline Rb2DyZn2S4 at its relaxed geometry.

Results
Symmetry ... No. 12
Energy relative to the elements, uncorrected ... -1155 meV per atom
Total magnetic moment ... 0.002 Bohr magnetons per cell

Lattice parameters (Å, degrees): 8.206 8.206 8.116 112.30 112.30 27.59
Sites, in units of the cell vectors:
Rb 0.129 0.129 0.059
Rb 0.871 0.871 0.941
Dy 0.000 0.000 0.500
Zn 0.317 0.317 0.479
Zn 0.683 0.683 0.521
S 0.186 0.186 0.701
S 0.466 0.466 0.707
S 0.534 0.534 0.293
S 0.814 0.814 0.299

---

4.
DFT (PBE) results for crystalline SrIn2Pd at its relaxed geometry.

Results
Calculated formation energy ... -0.5842 eV per atom
Symmetry ... No. 62
Total magnetic moment ... 0.000 Bohr magnetons per cell

Lattice parameters (Å, degrees): 16.758 8.058 5.973 90.00 90.00 90.00
Sites, in units of the cell vectors:
Sr 0.106 0.250 0.244
Sr 0.139 0.750 0.035
Sr 0.361 0.250 0.535
Sr 0.394 0.750 0.744
Sr 0.606 0.250 0.256
Sr 0.639 0.750 0.465
Sr 0.861 0.250 0.965
Sr 0.894 0.750 0.756
In 0.039 0.056 0.737
In 0.039 0.444 0.737
In 0.213 0.553 0.539
In 0.213 0.947 0.539
In 0.287 0.053 0.039
In 0.287 0.447 0.039
In 0.461 0.556 0.237
In 0.461 0.944 0.237
In 0.539 0.056 0.763
In 0.539 0.444 0.763
In 0.713 0.553 0.961
In 0.713 0.947 0.961
In 0.787 0.053 0.461
In 0.787 0.447 0.461
In 0.961 0.556 0.263
In 0.961 0.944 0.263
Pd 0.071 0.750 0.521
Pd 0.183 0.250 0.764
Pd 0.317 0.750 0.264
Pd 0.429 0.250 0.021
Pd 0.571 0.750 0.979
Pd 0.683 0.250 0.736
Pd 0.817 0.750 0.236
Pd 0.929 0.250 0.479

---

5.
DFT (PBE) results for crystalline Be2SnBiIr at its relaxed geometry.

Results
Calculated formation energy ... 1.0741 eV per atom
Symmetry ... No. 123
Total magnetic moment ... 0.000 Bohr magnetons per cell

Lattice parameters (Å, degrees): 4.488 4.488 5.226 90.00 90.00 90.00
Sites, in units of the cell vectors:
Be 0.000 0.500 0.000
Be 0.500 0.000 0.000
Sn 0.000 0.000 0.000
Bi 0.500 0.500 0.500
Ir 0.000 0.000 0.500

---

6.
DFT (PBE) results for crystalline TbCdGa at its relaxed geometry.

Results
Calculated formation energy ... -0.4073 eV per atom
Symmetry ... No. 216
Total magnetic moment ... 0.000 Bohr magnetons per cell

Lattice parameters (Å, degrees): 4.721 4.721 4.721 60.00 60.00 60.00
Sites, in units of the cell vectors:
Tb 0.000 0.000 0.000
Cd 0.500 0.500 0.500
Ga 0.750 0.750 0.750

---

Copy entry 2 word for word.
DFT (PBE) results for crystalline GaAsPPb2 at its relaxed geometry.

Results
Calculated formation energy ... 0.5560 eV per atom
Symmetry ... No. 123
Total magnetic moment ... 0.000 Bohr magnetons per cell

Lattice parameters (Å, degrees): 5.753 5.753 4.639 90.00 90.00 90.00
Sites, in units of the cell vectors:
Ga 0.000 0.000 0.000
As 0.500 0.500 0.500
P 0.500 0.500 0.000
Pb 0.000 0.500 0.500
Pb 0.500 0.000 0.500